[1]
Entry from Alexandria via LeMat-Bulk: crystalline Rb2YRe3O12 at its relaxed geometry (GGA-PBE).

abc: 7.612 7.612 7.612
angles: 58.17 58.17 58.17
Each line ends with the local moment (μB).
Positions (direct):
Rb: 0.617 0.617 0.617  0.00
Rb: 0.383 0.383 0.383  0.00
O: 0.697 0.697 0.071  0.04
O: 0.927 0.927 0.355  -0.01
O: 0.073 0.645 0.073  -0.01
O: 0.303 0.929 0.303  0.04
O: 0.303 0.303 0.929  0.04
O: 0.697 0.071 0.697  0.04
O: 0.927 0.355 0.927  -0.01
O: 0.073 0.073 0.645  -0.01
O: 0.355 0.927 0.927  -0.01
O: 0.071 0.697 0.697  0.04
O: 0.645 0.073 0.073  -0.01
O: 0.929 0.303 0.303  0.04
Y: 0.000 0.000 0.000  0.00
Re: 0.500 0.000 0.000  0.20
Re: 0.000 0.000 0.500  0.20
Re: 0.000 0.500 0.000  0.20

Computed properties:
uncorrected formation energy: -1926.0 meV/atom
space group: R-3m (166)
crystal system: trigonal
total DFT energy (no corrections): -7.773 eV/atom
total moment: 0.048 μB/atom

=====

[2]
Entry from Alexandria via LeMat-Bulk: crystalline GdTmRu at its relaxed geometry (GGA-PBE).

abc: 3.391 3.391 6.904
angles: 104.22 104.22 90.00
Each line ends with the local moment (μB).
Positions (direct):
Ru: 0.670 0.670 0.340  0.09
Tm: 0.292 0.292 0.585  -0.01
Gd: 0.038 0.038 0.076  -7.03

Computed properties:
ΔE_f: -0.348 eV/atom
space group: I4mm (107)
crystal system: tetragonal
total DFT energy (no corrections): -9.624 eV/atom
total moment: 2.359 μB/atom

=====

[3]
Entry from Alexandria via LeMat-Bulk: crystalline NaSi2BH at its relaxed geometry (GGA-PBE).

abc: 3.828 4.197 3.828
angles: 90.00 90.00 90.00
Positions (direct):
Si: 0.500 0.000 0.000
Si: 0.000 0.000 0.500
Na: 0.000 0.500 0.000
B: 0.500 0.500 0.500
H: 0.000 0.000 0.000

Computed properties:
space group: P4/mmm (123)
crystal system: tetragonal
total DFT energy (no corrections): -3.471 eV/atom
total moment: 0.000 μB/atom

=====

[4]
Entry from Alexandria via LeMat-Bulk: crystalline RbIn3Sb at its relaxed geometry (GGA-PBE).

abc: 6.153 6.153 6.153
angles: 90.00 90.00 90.00
Positions (direct):
In: 0.000 0.000 0.500
In: 0.000 0.500 0.000
In: 0.500 0.000 0.000
Rb: 0.000 0.000 0.000
Sb: 0.500 0.500 0.500

Computed properties:
uncorrected formation energy: 993.6 meV/atom
space group: Pm-3m (221)
crystal system: cubic
total DFT energy (no corrections): -1.667 eV/atom
total moment: 0.000 μB/atom

=====

[5]
Entry from Alexandria via LeMat-Bulk: crystalline CuAgF3 at its relaxed geometry (GGA-PBE).

abc: 4.008 4.008 4.008
angles: 90.00 90.00 90.00
Each line ends with the local moment (μB).
Positions (direct):
Cu: 0.000 0.000 0.000  0.25
Ag: 0.500 0.500 0.500  0.00
F: 0.500 0.000 0.000  0.03
F: 0.000 0.000 0.500  0.03
F: 0.000 0.500 0.000  0.03

Computed properties:
uncorrected formation energy: -1287.5 meV/atom
space group: Pm-3m (221)
crystal system: cubic
total DFT energy (no corrections): -3.800 eV/atom
total moment: 0.066 μB/atom

=====

[6]
Entry from Alexandria via LeMat-Bulk: crystalline MnPOs2 at its relaxed geometry (GGA-PBE).

abc: 4.181 4.181 3.009
angles: 90.00 90.00 90.00
Each line ends with the local moment (μB).
Positions (direct):
Mn: 0.000 0.000 0.500  3.02
Os: 0.000 0.500 0.000  0.04
Os: 0.500 0.000 0.000  0.04
P: 0.500 0.500 0.500  0.00

Computed properties:
ΔE_f: 0.087 eV/atom
space group: P4/mmm (123)
crystal system: tetragonal
total DFT energy (no corrections): -9.173 eV/atom
total moment: 0.804 μB/atom

=====

[7]
Entry from Alexandria via LeMat-Bulk: crystalline ErCu3 at its relaxed geometry (GGA-PBE).

abc: 3.992 5.122 6.811
angles: 90.00 90.00 112.94
Positions (direct):
Cu: 0.866 0.732 0.440
Cu: 0.134 0.268 0.560
Cu: 0.281 0.563 0.250
Cu: 0.134 0.268 0.940
Cu: 0.866 0.732 0.060
Cu: 0.719 0.437 0.750
Er: 0.428 0.857 0.750
Er: 0.572 0.143 0.250

Computed properties:
ΔE_f: -0.229 eV/atom
space group: Cmcm (63)
crystal system: orthorhombic
total DFT energy (no corrections): -4.442 eV/atom
total moment: 0.000 μB/atom

=====

[8]
Entry from Alexandria via LeMat-Bulk: crystalline YMnOs2 at its relaxed geometry (GGA-PBE).

abc: 2.922 2.922 8.087
angles: 90.00 90.00 90.00
Each line ends with the local moment (μB).
Positions (direct):
Os: 0.000 0.000 0.008  0.05
Os: 0.500 0.500 0.209  0.06
Mn: 0.500 0.500 0.789  3.40
Y: 0.000 0.000 0.494  -0.27

Computed properties:
ΔE_f: 0.258 eV/atom
space group: P4mm (99)
crystal system: tetragonal
total DFT energy (no corrections): -9.265 eV/atom
total moment: 0.822 μB/atom

=====

[9]
Entry from Alexandria via LeMat-Bulk: crystalline Sr2AcOsO6 at its relaxed geometry (GGA-PBE).

abc: 5.962 6.152 8.546
angles: 90.00 91.03 90.00
Each line ends with the local moment (μB).
Positions (direct):
Sr: 0.983 0.048 0.749  0.01
Sr: 0.017 0.952 0.251  0.01
Sr: 0.517 0.548 0.751  0.01
Sr: 0.483 0.452 0.249  0.01
O: 0.732 0.318 0.949  0.10
O: 0.174 0.233 0.062  0.09
O: 0.104 0.457 0.780  0.10
O: 0.232 0.182 0.449  0.10
O: 0.896 0.543 0.220  0.10
O: 0.604 0.043 0.280  0.10
O: 0.674 0.267 0.562  0.09
O: 0.326 0.733 0.438  0.09
O: 0.396 0.957 0.720  0.10
O: 0.268 0.682 0.051  0.10
O: 0.768 0.818 0.551  0.10
O: 0.826 0.767 0.938  0.09
Os: 0.000 0.500 0.000  2.05
Os: 0.500 0.000 0.500  2.05
Ac: 0.500 0.000 0.000  0.04
Ac: 0.000 0.500 0.500  0.04

Computed properties:
uncorrected formation energy: -2346.9 meV/atom
space group: P2_1/c (14)
crystal system: monoclinic
total DFT energy (no corrections): -7.192 eV/atom
total moment: 0.300 μB/atom

=====

[10]
Entry from Alexandria via LeMat-Bulk: crystalline Li6Br2NO at its relaxed geometry (GGA-PBE).

abc: 5.599 5.938 8.116
angles: 90.00 90.00 90.00
Each line ends with the local moment (μB).
Positions (direct):
O: 0.500 0.250 0.000  0.01
O: 0.000 0.750 0.500  0.01
N: 0.000 0.750 0.000  0.54
N: 0.500 0.250 0.500  0.54
Li: 0.000 0.750 0.745  0.00
Li: 0.750 0.513 0.500  0.01
Li: 0.750 0.014 0.000  0.01
Li: 0.250 0.986 0.500  0.01
Li: 0.750 0.487 0.000  0.01
Li: 0.250 0.513 0.500  0.01
Li: 0.250 0.014 0.000  0.01
Li: 0.750 0.986 0.500  0.01
Li: 0.000 0.750 0.255  0.00
Li: 0.500 0.250 0.245  0.00
Li: 0.500 0.250 0.755  0.00
Li: 0.250 0.487 0.000  0.01
Br: 0.000 0.250 0.260  0.03
Br: 0.500 0.750 0.760  0.03
Br: 0.000 0.250 0.740  0.03
Br: 0.500 0.750 0.240  0.03

Computed properties:
uncorrected formation energy: -1119.3 meV/atom
space group: Immm (71)
crystal system: orthorhombic
total DFT energy (no corrections): -3.931 eV/atom
total moment: 0.100 μB/atom

=====

[11]
Entry from Alexandria via LeMat-Bulk: crystalline TaFe2Re at its relaxed geometry (GGA-PBE).

abc: 4.673 4.673 4.516
angles: 78.34 78.34 34.55
Each line ends with the local moment (μB).
Positions (direct):
Fe: 0.015 0.015 0.003  1.50
Fe: 0.744 0.744 0.729  0.31
Re: 0.485 0.485 0.547  -0.04
Ta: 0.256 0.256 0.220  -0.10

Computed properties:
ΔE_f: 0.069 eV/atom
space group: Cm (8)
crystal system: monoclinic
total DFT energy (no corrections): -10.238 eV/atom
total moment: 0.407 μB/atom

=====

[12]
Entry from Alexandria via LeMat-Bulk: crystalline NaY2Pb2 at its relaxed geometry (GGA-PBE).

abc: 4.651 4.651 8.602
angles: 74.31 74.31 90.00
Each line ends with the local moment (μB).
Positions (direct):
Na: 0.000 0.000 0.000  0.00
Pb: 0.750 0.250 0.500  0.01
Pb: 0.250 0.750 0.500  0.01
Y: 0.611 0.611 0.778  0.09
Y: 0.389 0.389 0.222  0.09

Computed properties:
ΔE_f: 0.083 eV/atom
space group: I4/mmm (139)
crystal system: tetragonal
total DFT energy (no corrections): -4.250 eV/atom
total moment: 0.089 μB/atom

=====

[13]
Entry from Alexandria via LeMat-Bulk: crystalline LuPaGaAg at its relaxed geometry (GGA-PBE).

abc: 5.064 5.064 5.064
angles: 60.00 60.00 60.00
Each line ends with the local moment (μB).
Positions (direct):
Pa: 0.500 0.500 0.500  0.81
Ag: 0.250 0.250 0.250  0.04
Ga: 0.750 0.750 0.750  -0.01
Lu: 0.000 0.000 0.000  0.23

Computed properties:
ΔE_f: -0.087 eV/atom
space group: F-43m (216)
crystal system: cubic
total DFT energy (no corrections): -5.061 eV/atom
total moment: 0.351 μB/atom

=====

[14]
Entry from Alexandria via LeMat-Bulk: crystalline LiReW at its relaxed geometry (GGA-PBE).

abc: 4.388 4.388 2.627
angles: 90.00 90.00 120.00
Positions (direct):
Li: 0.000 0.000 0.006
W: 0.333 0.667 0.649
Re: 0.667 0.333 0.345

Computed properties:
ΔE_f: 0.157 eV/atom
space group: P3m1 (156)
crystal system: trigonal
total DFT energy (no corrections): -8.948 eV/atom
total moment: 0.000 μB/atom

=====

[15]
Entry from Alexandria via LeMat-Bulk: crystalline LiSnPb at its relaxed geometry (GGA-PBE).

abc: 4.749 4.749 4.749
angles: 60.00 60.00 60.00
Positions (direct):
Pb: 0.000 0.000 0.000
Li: 0.250 0.250 0.250
Sn: 0.500 0.500 0.500

Computed properties:
ΔE_f: -0.093 eV/atom
space group: F-43m (216)
crystal system: cubic
total DFT energy (no corrections): -3.302 eV/atom
total moment: 0.000 μB/atom

=====

[16]
Entry from Alexandria via LeMat-Bulk: crystalline BaScAs2 at its relaxed geometry (GGA-PBE).

abc: 4.265 4.262 6.506
angles: 90.00 90.00 90.00
Positions (direct):
As: 0.000 0.000 0.894
As: 0.500 0.500 0.300
Ba: 0.000 0.000 0.400
Sc: 0.500 0.500 0.906

Computed properties:
ΔE_f: -0.746 eV/atom
space group: P4mm (99)
crystal system: tetragonal
total DFT energy (no corrections): -5.134 eV/atom
total moment: 0.000 μB/atom

=====

[17]
Entry from Alexandria via LeMat-Bulk: crystalline AcThBr2 at its relaxed geometry (GGA-PBE).

abc: 3.758 3.758 11.117
angles: 80.27 80.27 60.00
Each line ends with the local moment (μB).
Positions (direct):
Br: 0.099 0.099 0.702  0.00
Br: 0.901 0.901 0.298  0.00
Th: 0.500 0.500 0.500  0.04
Ac: 0.000 0.000 0.000  0.20

Computed properties:
uncorrected formation energy: -936.8 meV/atom
space group: R-3m (166)
crystal system: trigonal
total DFT energy (no corrections): -4.655 eV/atom
total moment: 0.181 μB/atom

=====

[18]
Entry from Alexandria via LeMat-Bulk: crystalline Zr5CdGa3 at its relaxed geometry (GGA-PBE).

abc: 5.806 8.472 8.472
angles: 120.00 90.00 90.00
Positions (direct):
Ga: 0.250 0.000 0.357
Ga: 0.250 0.357 0.000
Ga: 0.750 0.643 0.000
Ga: 0.750 0.357 0.357
Ga: 0.250 0.643 0.643
Ga: 0.750 0.000 0.643
Zr: 0.500 0.667 0.333
Zr: 0.000 0.333 0.667
Zr: 0.500 0.333 0.667
Zr: 0.000 0.667 0.333
Zr: 0.750 0.686 0.686
Zr: 0.750 0.314 0.000
Zr: 0.250 0.314 0.314
Zr: 0.250 0.000 0.686
Zr: 0.250 0.686 0.000
Zr: 0.750 0.000 0.314
Cd: 0.500 0.000 0.000
Cd: 0.000 0.000 0.000

Computed properties:
ΔE_f: -0.449 eV/atom
space group: P6_3/mcm (193)
crystal system: hexagonal
total DFT energy (no corrections): -6.308 eV/atom
total moment: 0.000 μB/atom

=====

[19]
Entry from Alexandria via LeMat-Bulk: crystalline Tm2Si2PdRh5 at its relaxed geometry (GGA-PBE).

abc: 3.482 9.645 9.645
angles: 90.00 90.00 90.00
Positions (direct):
Rh: 0.500 0.214 0.069
Rh: 0.500 0.500 0.000
Rh: 0.500 0.786 0.931
Rh: 0.500 0.069 0.786
Rh: 0.500 0.000 0.500
Rh: 0.500 0.569 0.714
Rh: 0.500 0.431 0.286
Rh: 0.500 0.714 0.431
Rh: 0.500 0.931 0.214
Rh: 0.500 0.286 0.569
Tm: 0.000 0.325 0.825
Tm: 0.000 0.175 0.325
Tm: 0.000 0.825 0.675
Tm: 0.000 0.675 0.175
Si: 0.000 0.626 0.874
Si: 0.000 0.126 0.626
Si: 0.000 0.374 0.126
Si: 0.000 0.874 0.374
Pd: 0.000 0.000 0.000
Pd: 0.000 0.500 0.500

Computed properties:
uncorrected formation energy: -864.4 meV/atom
space group: P4/mbm (127)
crystal system: tetragonal
total DFT energy (no corrections): -7.038 eV/atom
total moment: 0.000 μB/atom

=====

[20]
Entry from Alexandria via LeMat-Bulk: crystalline Sb2HPt at its relaxed geometry (GGA-PBE).

abc: 6.590 6.590 5.797
angles: 55.36 55.36 90.00
Positions (direct):
Sb: 0.576 0.125 0.250
Sb: 0.375 0.424 0.750
Sb: 0.174 0.625 0.250
Sb: 0.875 0.826 0.750
Pt: 0.000 0.000 0.000
Pt: 0.750 0.250 0.500
H: 0.250 0.750 0.500
H: 0.500 0.500 0.000

Computed properties:
space group: I-42d (122)
crystal system: tetragonal
total DFT energy (no corrections): -4.212 eV/atom
total moment: 0.000 μB/atom